Density functional theory data (PBE) for a relaxed TaSbBr2 crystal.

Results
The value obtained for the total magnetic moment is 0.45 μB per formula unit. The calculation puts the mass density at 6.317 g cm⁻³. For the raw total energy, the calculation gives -19.78 eV per formula unit. Its density of states at the Fermi level is 2.31 states/eV/cell. As for the space group: Immm (71). The volume is 122 Å³/f.u. For the energy above the lowest structure with this stoichiometry, the calculation gives 208 meV/atom. The uncorrected formation energy comes out at -0.12 eV/atom.

Lattice parameters (Å, degrees): 8.085 8.085 5.105 71.60 71.60 22.63
Atoms (fractional coordinates):
Br 0.397 0.397 0.603
Br 0.103 0.103 0.897
Ta 0.750 0.750 0.750
Sb 0.250 0.250 0.250

Density functional theory data (PBE) for a relaxed TlCdRu4 crystal.

Results
The value obtained for the total magnetic moment is 2.79 μB per formula unit. The calculation puts the mass density at 11.666 g cm⁻³. For the raw total energy, the calculation gives -36.77 eV per formula unit. Its density of states at the Fermi level is 6.49 states/eV/cell. As for the space group: F-43m (216). The volume is 103 Å³/f.u. The formation energy comes out at 603 meV/atom.

Lattice parameters (Å, degrees): 5.255 5.255 5.255 60.00 60.00 60.00
Atoms (fractional coordinates):
Ru 0.375 0.875 0.375
Ru 0.875 0.375 0.375
Ru 0.375 0.375 0.375
Ru 0.375 0.375 0.875
Tl 0.750 0.750 0.750
Cd 0.000 0.000 0.000

Density functional theory data (PBE) for a relaxed Mn2HgCl crystal.

Results
The value obtained for the total magnetic moment is 8.21 μB per formula unit. The calculation puts the mass density at 7.474 g cm⁻³. For the raw total energy, the calculation gives -19.65 eV per formula unit. Its density of states at the Fermi level is 2.32 states/eV/cell. As for the space group: Cmmm (65). The volume is 77 Å³/f.u. For the energy above the lowest structure with this stoichiometry, the calculation gives 145 meV/atom. The uncorrected formation energy comes out at 0.21 eV/atom.

Lattice parameters (Å, degrees): 3.228 3.228 8.573 90.00 90.00 120.63
Atoms (fractional coordinates):
Hg 0.500 0.500 0.750
Mn 0.000 0.000 0.485
Mn 0.000 0.000 0.015
Cl 0.500 0.500 0.250

Density functional theory data (PBE) for a relaxed CeEr2Pb crystal.

Results
The value obtained for the total magnetic moment is 0.37 μB per formula unit. The calculation puts the mass density at 10.084 g cm⁻³. For the raw total energy, the calculation gives -19.74 eV per formula unit. Its density of states at the Fermi level is 7.22 states/eV/cell. As for the space group: P4/mmm (123). The volume is 112 Å³/f.u. For the energy above the lowest structure with this stoichiometry, the calculation gives 0 meV/atom. The formation energy comes out at -242 meV/atom.

Lattice parameters (Å, degrees): 4.662 4.908 4.908 90.00 90.00 90.00
Atoms (fractional coordinates):
Pb 0.500 0.000 0.000
Er 0.000 0.500 0.000
Er 0.000 0.000 0.500
Ce 0.500 0.500 0.500

Density functional theory data (PBE) for a relaxed La14ScSn crystal.

Results
The value obtained for the total magnetic moment is 0.00 μB per formula unit. The calculation puts the mass density at 6.352 g cm⁻³. For the raw total energy, the calculation gives -80.83 eV per formula unit. Its density of states at the Fermi level is 22.68 states/eV/cell. As for the space group: Amm2 (38). The volume is 551 Å³/f.u. The formation energy comes out at -95 meV/atom.

Lattice parameters (Å, degrees): 7.271 7.271 10.424 90.00 90.00 90.00
Atoms (fractional coordinates):
La 0.375 0.125 0.500
La 0.622 0.378 0.241
La 0.375 0.125 0.000
La 0.128 0.872 0.242
La 0.622 0.378 0.759
La 0.874 0.126 0.500
La 0.875 0.625 0.000
La 0.875 0.625 0.500
La 0.128 0.378 0.241
La 0.622 0.872 0.241
La 0.622 0.872 0.759
La 0.375 0.625 0.500
La 0.128 0.872 0.758
La 0.128 0.378 0.759
Sc 0.875 0.125 0.000
Sn 0.375 0.625 0.000

Density functional theory data (PBE) for a relaxed TcIrOs crystal.

Results
The value obtained for the total magnetic moment is 0.70 μB per formula unit. The calculation puts the mass density at 15.505 g cm⁻³. For the raw total energy, the calculation gives -27.77 eV per formula unit. Its density of states at the Fermi level is 15.60 states/eV/cell. As for the space group: Fddd (70). The volume is 51 Å³/f.u. For the energy above the lowest structure with this stoichiometry, the calculation gives 956 meV/atom. The formation energy comes out at 897 meV/atom.

Lattice parameters (Å, degrees): 5.995 5.995 7.755 98.44 98.44 128.34
Atoms (fractional coordinates):
Ir 0.040 0.960 0.500
Ir 0.210 0.790 0.000
Ir 0.790 0.210 0.000
Ir 0.460 0.540 0.500
Tc 0.125 0.375 0.750
Tc 0.625 0.375 0.750
Tc 0.625 0.375 0.250
Tc 0.625 0.875 0.250
Os 0.341 0.841 0.682
Os 0.091 0.091 0.182
Os 0.159 0.659 0.318
Os 0.909 0.909 0.818

Density functional theory data (PBE) for a relaxed PmTeIr crystal.

Results
The value obtained for the total magnetic moment is 0.00 μB per formula unit. The calculation puts the mass density at 10.395 g cm⁻³. For the raw total energy, the calculation gives -19.30 eV per formula unit. Its density of states at the Fermi level is 0.29 states/eV/cell. As for the space group: F-43m (216). The volume is 74 Å³/f.u. For the energy above the lowest structure with this stoichiometry, the calculation gives 0 meV/atom. The uncorrected formation energy comes out at -0.85 eV/atom.

Lattice parameters (Å, degrees): 4.718 4.718 4.718 60.00 60.00 60.00
Atoms (fractional coordinates):
Ir 0.250 0.250 0.250
Pm 0.500 0.500 0.500
Te 0.000 0.000 0.000

Density functional theory data (PBE) for a relaxed TlIn3Pb2Se8 crystal.

Results
The value obtained for the total magnetic moment is 0.00 μB per formula unit. The calculation puts the mass density at 6.090 g cm⁻³. For the raw total energy, the calculation gives -51.59 eV per formula unit. Its density of states at the Fermi level is 5.53 states/eV/cell. As for the space group: R3m (160). The volume is 435 Å³/f.u. The uncorrected formation energy comes out at -0.41 eV/atom.

Lattice parameters (Å, degrees): 8.362 8.362 8.653 61.11 61.11 60.00
Atoms (fractional coordinates):
Se 0.266 0.266 0.201
Se 0.288 0.746 0.219
Se 0.247 0.247 0.792
Se 0.746 0.288 0.219
Se 0.714 0.247 0.792
Se 0.746 0.746 0.219
Se 0.738 0.738 0.786
Se 0.247 0.714 0.792
Pb 0.125 0.125 0.625
Pb 0.496 0.496 0.511
In 0.000 0.500 0.000
In 0.500 0.000 0.000
In 0.500 0.500 0.000
Tl 0.879 0.879 0.362

Density functional theory data (PBE) for a relaxed CePm2CuSe5 crystal.

Results
The value obtained for the total magnetic moment is 0.85 μB per formula unit. The calculation puts the mass density at 6.622 g cm⁻³. For the raw total energy, the calculation gives -50.83 eV per formula unit. Its density of states at the Fermi level is 14.29 states/eV/cell. As for the space group: Cmc2_1 (36). The volume is 223 Å³/f.u. The uncorrected formation energy comes out at -1.54 eV/atom.

Lattice parameters (Å, degrees): 4.069 9.242 12.148 90.00 90.00 102.72
Atoms (fractional coordinates):
Ce 0.195 0.391 0.011
Ce 0.805 0.609 0.511
Se 0.640 0.280 0.502
Se 0.957 0.915 0.560
Se 0.680 0.360 0.841
Se 0.502 0.003 0.278
Se 0.043 0.085 0.060
Se 0.498 0.997 0.778
Se 0.708 0.417 0.184
Se 0.292 0.583 0.684
Se 0.320 0.640 0.341
Se 0.360 0.720 0.002
Pm 0.882 0.764 0.811
Pm 0.118 0.236 0.311
Pm 0.106 0.213 0.684
Pm 0.894 0.787 0.184
Cu 0.563 0.125 0.953
Cu 0.437 0.875 0.453

Density functional theory data (PBE) for a relaxed PaNi3As3 crystal.

Results
The value obtained for the total magnetic moment is 0.08 μB per formula unit. The calculation puts the mass density at 8.280 g cm⁻³. For the raw total energy, the calculation gives -42.36 eV per formula unit. Its density of states at the Fermi level is 10.35 states/eV/cell. As for the space group: Pm-3n (223). The volume is 127 Å³/f.u. For the energy above the lowest structure with this stoichiometry, the calculation gives 252 meV/atom. The formation energy comes out at -224 meV/atom.

Lattice parameters (Å, degrees): 6.328 6.328 6.328 90.00 90.00 90.00
Atoms (fractional coordinates):
Pa 0.500 0.500 0.500
Pa 0.000 0.000 0.000
Ni 0.500 0.000 0.250
Ni 0.500 0.000 0.750
Ni 0.000 0.250 0.500
Ni 0.750 0.500 0.000
Ni 0.000 0.750 0.500
Ni 0.250 0.500 0.000
As 0.250 0.000 0.500
As 0.000 0.500 0.750
As 0.000 0.500 0.250
As 0.750 0.000 0.500
As 0.500 0.750 0.000
As 0.500 0.250 0.000

Density functional theory data (PBE) for a relaxed SrRe4Mo crystal.

Results
The value obtained for the total magnetic moment is 0.00 μB per formula unit. The calculation puts the mass density at 14.392 g cm⁻³. For the raw total energy, the calculation gives -58.84 eV per formula unit. Its density of states at the Fermi level is 8.02 states/eV/cell. As for the space group: F-43m (216). The volume is 107 Å³/f.u. The formation energy comes out at 578 meV/atom.

Lattice parameters (Å, degrees): 5.331 5.331 5.331 60.00 60.00 60.00
Atoms (fractional coordinates):
Re 0.375 0.375 0.375
Re 0.876 0.375 0.375
Re 0.375 0.876 0.375
Re 0.375 0.375 0.876
Mo 0.000 0.000 0.000
Sr 0.750 0.750 0.750

Density functional theory data (PBE) for a relaxed Tm8PdRu5 crystal.

Results
The value obtained for the total magnetic moment is 0.00 μB per formula unit. The calculation puts the mass density at 10.860 g cm⁻³. For the raw total energy, the calculation gives -92.42 eV per formula unit. Its density of states at the Fermi level is 7.26 states/eV/cell. As for the space group: I-4 (82). The volume is 300 Å³/f.u. The formation energy comes out at -362 meV/atom.

Lattice parameters (Å, degrees): 7.306 7.306 7.306 109.34 109.73 109.34
Atoms (fractional coordinates):
Tm 0.265 0.240 0.382
Tm 0.618 0.883 0.858
Tm 0.652 0.393 0.894
Tm 0.975 0.117 0.735
Tm 0.106 0.758 0.499
Tm 0.741 0.242 0.348
Tm 0.142 0.760 0.025
Tm 0.501 0.607 0.259
Ru 0.033 0.389 0.147
Ru 0.853 0.886 0.242
Ru 0.356 0.114 0.967
Ru 0.758 0.611 0.644
Ru 0.500 0.000 0.500
Pd 0.250 0.500 0.750

Which value of raw total energy does entry 6 give? -27.77 eV per formula unit

Copy entry 6 word for word.
Density functional theory data (PBE) for a relaxed TcIrOs crystal.

Results
The value obtained for the total magnetic moment is 0.70 μB per formula unit. The calculation puts the mass density at 15.505 g cm⁻³. For the raw total energy, the calculation gives -27.77 eV per formula unit. Its density of states at the Fermi level is 15.60 states/eV/cell. As for the space group: Fddd (70). The volume is 51 Å³/f.u. For the energy above the lowest structure with this stoichiometry, the calculation gives 956 meV/atom. The formation energy comes out at 897 meV/atom.

Lattice parameters (Å, degrees): 5.995 5.995 7.755 98.44 98.44 128.34
Atoms (fractional coordinates):
Ir 0.040 0.960 0.500
Ir 0.210 0.790 0.000
Ir 0.790 0.210 0.000
Ir 0.460 0.540 0.500
Tc 0.125 0.375 0.750
Tc 0.625 0.375 0.750
Tc 0.625 0.375 0.250
Tc 0.625 0.875 0.250
Os 0.341 0.841 0.682
Os 0.091 0.091 0.182
Os 0.159 0.659 0.318
Os 0.909 0.909 0.818